Record 1
Material: YSc2NbBi
Method: DFT, GGA-PBE
State: relaxed Values from VASP.

Quantum ESPRESSO input file:
```
&SYSTEM
  ibrav = 0, nat = 5, ntyp = 4
/
ATOMIC_SPECIES
Y 88.91 Y.upf
Sc 44.96 Sc.upf
Nb 92.91 Nb.upf
Bi 208.98 Bi.upf
ATOMIC_POSITIONS angstrom
Y 0.000 0.000 0.000
Sc 0.000 2.549 2.755
Sc 2.549 0.000 2.755
Nb 0.000 0.000 2.755
Bi 2.549 2.549 0.000
CELL_PARAMETERS angstrom
5.097 0.000 0.000
0.000 5.097 0.000
0.000 0.000 5.510
```

Summary:
The formation energy is 382 meV per atom. The value obtained for the density of states at the Fermi level is 4.45 states/eV per cell. For the mass density, the calculation gives 5576 kg/m3.

Record 2
Material: Cu8AgS6
Method: DFT, GGA-PBE
State: relaxed Values from VASP.

Quantum ESPRESSO input file:
```
&SYSTEM
  ibrav = 0, nat = 30, ntyp = 3
/
ATOMIC_SPECIES
Cu 63.55 Cu.upf
Ag 107.87 Ag.upf
S 32.06 S.upf
ATOMIC_POSITIONS angstrom
Cu -0.811 1.404 0.000
Cu -1.229 2.129 4.307
Cu -2.140 3.707 10.661
Cu -2.558 4.431 6.354
Cu 1.621 0.000 0.000
Cu 0.811 1.404 6.354
Cu 0.000 3.890 1.041
Cu 0.000 3.890 7.395
Cu 2.458 0.000 4.307
Cu 1.229 2.129 10.661
Cu 4.280 0.000 10.661
Cu 2.140 3.707 4.307
Cu 3.369 1.945 1.041
Cu 3.369 1.945 7.395
Cu 5.117 0.000 6.354
Cu 2.558 4.431 0.000
Ag 0.000 0.000 2.174
Ag 0.000 0.000 8.528
S 0.000 0.000 4.791
S 0.000 0.000 11.145
S -1.312 2.272 2.000
S -2.057 3.564 8.354
S 0.000 3.890 5.106
S 0.000 3.890 11.460
S 2.624 0.000 2.000
S 1.312 2.272 8.354
S 4.115 0.000 8.354
S 2.057 3.564 2.000
S 3.369 1.945 5.106
S 3.369 1.945 11.460
CELL_PARAMETERS angstrom
6.738 0.000 0.000
-3.369 5.836 0.000
0.000 0.000 12.708
```

Summary:
Its formation energy without anion corrections is -1.9 eV per formula unit. The value obtained for the density of states at the Fermi level is 19.41 states/eV per cell. For the mass density, the calculation gives 5374 kg/m3.

Record 3
Material: Ac3Pm4Sm
Method: DFT, GGA-PBE
State: relaxed Values from VASP.

Quantum ESPRESSO input file:
```
&SYSTEM
  ibrav = 0, nat = 16, ntyp = 3
/
ATOMIC_SPECIES
Ac 227.00 Ac.upf
Pm 145.00 Pm.upf
Sm 150.36 Sm.upf
ATOMIC_POSITIONS angstrom
Ac 1.336 0.052 1.427
Ac 1.336 2.672 9.241
Ac 1.336 5.293 1.427
Ac 4.009 5.397 9.230
Ac 4.009 8.017 1.417
Ac 4.009 10.638 9.230
Pm 1.336 2.672 4.078
Pm 1.336 5.384 6.567
Pm 1.336 8.017 4.101
Pm 1.336 10.650 6.567
Pm 4.009 0.039 4.091
Pm 4.009 2.672 6.557
Pm 4.009 5.306 4.091
Pm 4.009 8.017 6.580
Sm 1.336 8.017 9.204
Sm 4.009 2.672 1.454
CELL_PARAMETERS angstrom
5.345 0.000 0.000
0.000 10.690 0.000
0.000 0.000 10.658
```

Summary:
The formation energy is 38 meV per atom. The value obtained for the density of states at the Fermi level is 26.64 states/eV per cell. For the mass density, the calculation gives 7697 kg/m3.

Repeat the second record exactly.
Material: Cu8AgS6
Method: DFT, GGA-PBE
State: relaxed Values from VASP.

Quantum ESPRESSO input file:
```
&SYSTEM
  ibrav = 0, nat = 30, ntyp = 3
/
ATOMIC_SPECIES
Cu 63.55 Cu.upf
Ag 107.87 Ag.upf
S 32.06 S.upf
ATOMIC_POSITIONS angstrom
Cu -0.811 1.404 0.000
Cu -1.229 2.129 4.307
Cu -2.140 3.707 10.661
Cu -2.558 4.431 6.354
Cu 1.621 0.000 0.000
Cu 0.811 1.404 6.354
Cu 0.000 3.890 1.041
Cu 0.000 3.890 7.395
Cu 2.458 0.000 4.307
Cu 1.229 2.129 10.661
Cu 4.280 0.000 10.661
Cu 2.140 3.707 4.307
Cu 3.369 1.945 1.041
Cu 3.369 1.945 7.395
Cu 5.117 0.000 6.354
Cu 2.558 4.431 0.000
Ag 0.000 0.000 2.174
Ag 0.000 0.000 8.528
S 0.000 0.000 4.791
S 0.000 0.000 11.145
S -1.312 2.272 2.000
S -2.057 3.564 8.354
S 0.000 3.890 5.106
S 0.000 3.890 11.460
S 2.624 0.000 2.000
S 1.312 2.272 8.354
S 4.115 0.000 8.354
S 2.057 3.564 2.000
S 3.369 1.945 5.106
S 3.369 1.945 11.460
CELL_PARAMETERS angstrom
6.738 0.000 0.000
-3.369 5.836 0.000
0.000 0.000 12.708
```

Summary:
Its formation energy without anion corrections is -1.9 eV per formula unit. The value obtained for the density of states at the Fermi level is 19.41 states/eV per cell. For the mass density, the calculation gives 5374 kg/m3.